{
  "formula": "PaTiSe3",
  "functional": "PBE-GGA",
  "state": "optimized geometry",
  "lattice_angstrom": [[8.596, 0.000, 0.000], [0.000, 6.543, 0.000], [-4.591, 0.000, 9.100]],
  "species": ["Pa", "Pa", "Pa", "Pa", "Ti", "Ti", "Ti", "Ti", "Se", "Se", "Se", "Se", "Se", "Se", "Se", "Se", "Se", "Se", "Se", "Se"],
  "frac_coords": [[0.237, 0.200, 0.109], [0.237, 0.300, 0.609], [0.763, 0.700, 0.391], [0.763, 0.800, 0.891], [0.439, 0.710, 0.525], [0.439, 0.790, 0.025], [0.561, 0.210, 0.975], [0.561, 0.290, 0.475], [0.117, 0.669, 0.457], [0.117, 0.831, 0.957], [0.281, 0.078, 0.389], [0.281, 0.422, 0.889], [0.409, 0.568, 0.279], [0.409, 0.932, 0.779], [0.591, 0.068, 0.221], [0.591, 0.432, 0.721], [0.719, 0.578, 0.111], [0.719, 0.922, 0.611], [0.883, 0.169, 0.043], [0.883, 0.331, 0.543]],
  "space_group": "No. 14",
  "crystal_system": "monoclinic",
  "e_form_raw_ev_per_atom": -1.121,
  "dft_energy_ev_per_atom": -6.6896
}


{
  "formula": "NbTc2",
  "functional": "PBE-GGA",
  "state": "optimized geometry",
  "lattice_angstrom": [[-1.586, 1.586, 4.715], [1.586, -1.586, 4.715], [1.586, 1.586, -4.715]],
  "species": ["Nb", "Tc", "Tc"],
  "frac_coords": [[0.000, 0.000, 0.000], [0.336, 0.336, 0.000], [0.664, 0.664, 0.000]],
  "formation_energy_ev_per_fu": -0.210,
  "space_group": "No. 139",
  "crystal_system": "tetragonal",
  "dft_energy_ev_per_atom": -10.3371
}


{
  "formula": "CdHCl2",
  "functional": "PBE-GGA",
  "state": "optimized geometry",
  "lattice_angstrom": [[6.764, 0.000, 0.000], [0.000, 3.904, 0.000], [-2.301, 0.000, 7.723]],
  "species": ["Cd", "Cd", "H", "H", "Cl", "Cl", "Cl", "Cl"],
  "frac_coords": [[0.250, 0.250, 0.000], [0.750, 0.750, 0.000], [0.246, 0.750, 0.500], [0.754, 0.250, 0.500], [0.020, 0.750, 0.813], [0.480, 0.750, 0.186], [0.520, 0.250, 0.814], [0.980, 0.250, 0.187]],
  "space_group": "No. 11",
  "crystal_system": "monoclinic",
  "dft_energy_ev_per_atom": -2.2444
}


{
  "formula": "Ir2Ru2W",
  "functional": "PBE-GGA",
  "state": "optimized geometry",
  "lattice_angstrom": [[11.287, 0.000, 0.000], [0.000, 5.490, 0.000], [-0.701, 0.000, 4.711]],
  "species": ["Ir", "Ir", "Ir", "Ir", "Ir", "Ir", "Ir", "Ir", "Ru", "Ru", "Ru", "Ru", "Ru", "Ru", "Ru", "Ru", "W", "W", "W", "W"],
  "frac_coords": [[0.102, 0.131, 0.452], [0.102, 0.369, 0.952], [0.299, 0.613, 0.848], [0.299, 0.887, 0.348], [0.701, 0.113, 0.652], [0.701, 0.387, 0.152], [0.898, 0.631, 0.048], [0.898, 0.869, 0.548], [0.100, 0.626, 0.454], [0.100, 0.874, 0.954], [0.498, 0.133, 0.253], [0.498, 0.367, 0.753], [0.502, 0.633, 0.247], [0.502, 0.867, 0.747], [0.900, 0.126, 0.046], [0.900, 0.374, 0.546], [0.301, 0.109, 0.852], [0.301, 0.391, 0.352], [0.699, 0.609, 0.648], [0.699, 0.891, 0.148]],
  "formation_energy_ev_per_fu": -0.469,
  "space_group": "No. 14",
  "crystal_system": "monoclinic",
  "dft_energy_ev_per_atom": -9.9391
}


{
  "formula": "PuRhAu",
  "functional": "PBE-GGA",
  "state": "optimized geometry",
  "lattice_angstrom": [[-1.770, 1.770, 4.808], [1.770, -1.770, 4.808], [1.770, 1.770, -4.808]],
  "species": ["Pu", "Rh", "Au"],
  "frac_coords": [[0.000, 0.000, 0.000], [0.351, 0.351, 0.000], [0.687, 0.687, 0.000]],
  "formation_energy_ev_per_fu": -0.831,
  "space_group": "No. 107",
  "crystal_system": "tetragonal",
  "dft_energy_ev_per_atom": -8.5973
}


{
  "formula": "NaPmBr4",
  "functional": "PBE-GGA",
  "state": "optimized geometry",
  "lattice_angstrom": [[6.964, 0.000, 0.000], [0.000, 4.344, 0.000], [-0.578, 0.000, 7.588]],
  "species": ["Na", "Pm", "Br", "Br", "Br", "Br"],
  "frac_coords": [[0.000, 0.000, 0.000], [0.000, 0.500, 0.500], [0.214, 0.500, 0.197], [0.236, 0.000, 0.661], [0.764, 0.000, 0.339], [0.786, 0.500, 0.803]],
  "space_group": "No. 10",
  "crystal_system": "monoclinic",
  "e_form_raw_ev_per_atom": -1.759,
  "dft_energy_ev_per_atom": -3.8863
}


{
  "formula": "NaAcGeBi",
  "functional": "PBE-GGA",
  "state": "optimized geometry",
  "lattice_angstrom": [[0.000, 3.930, 3.930], [3.930, 0.000, 3.930], [3.930, 3.930, 0.000]],
  "species": ["Na", "Ac", "Ge", "Bi"],
  "frac_coords": [[0.000, 0.000, 0.000], [0.500, 0.500, 0.500], [0.750, 0.750, 0.750], [0.250, 0.250, 0.250]],
  "formation_energy_ev_per_fu": -1.333,
  "space_group": "No. 216",
  "crystal_system": "cubic",
  "dft_energy_ev_per_atom": -3.8146
}


{
  "formula": "KSc2Ag",
  "functional": "PBE-GGA",
  "state": "optimized geometry",
  "lattice_angstrom": [[1.610, 0.929, 12.513], [-1.610, 0.929, 12.513], [0.000, -1.859, 12.513]],
  "species": ["K", "Sc", "Sc", "Ag"],
  "frac_coords": [[0.000, 0.000, 0.000], [0.425, 0.425, 0.425], [0.575, 0.575, 0.575], [0.500, 0.500, 0.500]],
  "formation_energy_ev_per_fu": 2.447,
  "space_group": "No. 166",
  "crystal_system": "trigonal",
  "dft_energy_ev_per_atom": -3.5413
}


{
  "formula": "LiNbCoRh",
  "functional": "PBE-GGA",
  "state": "optimized geometry",
  "lattice_angstrom": [[0.000, 3.010, 3.010], [3.010, 0.000, 3.010], [3.010, 3.010, 0.000]],
  "species": ["Li", "Nb", "Co", "Rh"],
  "frac_coords": [[0.000, 0.000, 0.000], [0.500, 0.500, 0.500], [0.750, 0.750, 0.750], [0.250, 0.250, 0.250]],
  "formation_energy_ev_per_fu": -0.845,
  "space_group": "No. 216",
  "crystal_system": "cubic",
  "dft_energy_ev_per_atom": -6.8214
}


{
  "formula": "TaZnW2",
  "functional": "PBE-GGA",
  "state": "optimized geometry",
  "lattice_angstrom": [[2.770, -4.570, 0.000], [2.770, 4.570, 0.000], [-0.942, 0.000, 2.567]],
  "species": ["Ta", "Zn", "W", "W"],
  "frac_coords": [[0.000, 0.000, 0.000], [0.500, 0.500, 0.000], [0.000, 0.500, 0.500], [0.500, 0.000, 0.500]],
  "formation_energy_ev_per_fu": 0.639,
  "space_group": "No. 12",
  "crystal_system": "monoclinic",
  "dft_energy_ev_per_atom": -9.5984
}


{
  "formula": "TbAgHg2",
  "functional": "PBE-GGA",
  "state": "optimized geometry",
  "lattice_angstrom": [[3.565, 0.000, 0.000], [0.000, 3.565, 0.000], [0.000, 0.000, 7.186]],
  "species": ["Tb", "Ag", "Hg", "Hg"],
  "frac_coords": [[0.000, 0.000, 0.000], [0.000, 0.000, 0.500], [0.500, 0.500, 0.271], [0.500, 0.500, 0.729]],
  "formation_energy_ev_per_fu": -0.959,
  "space_group": "No. 123",
  "crystal_system": "tetragonal",
  "dft_energy_ev_per_atom": -2.2610
}


{
  "formula": "GaPd4F2",
  "functional": "PBE-GGA",
  "state": "optimized geometry",
  "lattice_angstrom": [[-2.369, 2.369, 5.692], [2.369, -2.369, 5.692], [2.369, 2.369, -5.692]],
  "species": ["Ga", "Pd", "Pd", "Pd", "Pd", "F", "F"],
  "frac_coords": [[0.000, 0.000, 0.000], [0.000, 0.500, 0.500], [0.207, 0.207, 0.000], [0.500, 0.000, 0.500], [0.793, 0.793, 0.000], [0.392, 0.392, 0.000], [0.608, 0.608, 0.000]],
  "space_group": "No. 139",
  "crystal_system": "tetragonal",
  "e_form_raw_ev_per_atom": -0.045,
  "dft_energy_ev_per_atom": -3.9796
}


- What is the formula in the third record?
  CdHCl2